Here is a geometry-optimized PuAlP2 structure from Alexandria via LeMat-Bulk. Energies are from PBE.

Cell and atoms, written as POSCAR:
```
PuAlP2
1.0
-1.677 2.770 0.639
-2.095 1.215 -2.242
-7.767 -3.424 2.974
Al Pu P
1 1 2
direct
0.500 0.500 0.500
0.000 0.000 0.000
0.894 0.894 0.318
0.106 0.106 0.682
```

## Properties
- Total magnetization: 6.108 μB/cell
- ΔH_f (0 K): 74 meV/atom
- Crystal system: trigonal
- Calculated density: 6.667 g cm⁻³
- Total energy: -7.15 eV per atom